No. 1
## MnCo4Ag (GGA-PBE)

Data for a relaxed structure of MnCo4Ag.

Calculated values
As for the calculated total energy: -6.540 eV per atom.

Cell: 4.771 4.771 4.771 Å, 60.00 60.00 60.00°
Fractional positions:
Mn1 0.000 0.000 0.000
Co1 0.375 0.375 0.375
Co2 0.375 0.375 0.876
Co3 0.375 0.876 0.375
Co4 0.876 0.375 0.375
Ag1 0.750 0.750 0.750

No. 2
## ZrTiAs3 (GGA-PBE)

Data for a relaxed structure of ZrTiAs3.

Calculated values
As for the calculated total energy: -6.007 eV per atom.

Cell: 4.814 4.814 4.814 Å, 90.00 90.00 90.00°
Fractional positions:
Zr1 0.000 0.000 0.000
Ti1 0.500 0.500 0.500
As1 0.000 0.500 0.500
As2 0.500 0.000 0.500
As3 0.500 0.500 0.000

No. 3
## Ce3Sb2As (GGA-PBE)

Data for a relaxed structure of Ce3Sb2As.

Calculated values
Its uncorrected formation energy is -1.14 eV/atom.

Cell: 7.639 7.639 7.610 Å, 99.60 99.60 119.84°
Fractional positions:
Ce1 0.000 0.500 0.000
Ce2 0.154 0.310 0.497
Ce3 0.310 0.154 0.997
Ce4 0.500 0.000 0.500
Ce5 0.690 0.846 0.003
Ce6 0.846 0.690 0.503
Sb1 0.256 0.744 0.750
Sb2 0.418 0.582 0.250
Sb3 0.582 0.418 0.750
Sb4 0.744 0.256 0.250
As1 0.087 0.913 0.250
As2 0.913 0.087 0.750

no.,DOS(E_F) (states/eV/cell)
1,6.34
2,5.11
3,36.05